! Sc2AgHg4 PBE optimized geometry; values from VASP
&SYSTEM
  ibrav = 0, nat = 7, ntyp = 3
/
ATOMIC_SPECIES
Hg 200.59 Hg.upf
Sc 44.96 Sc.upf
Ag 107.87 Ag.upf
CELL_PARAMETERS angstrom
4.746 -0.018 1.530
2.126 4.244 1.530
0.247 0.152 7.784
ATOMIC_POSITIONS crystal
Hg 0.409 0.409 0.782
Hg 0.591 0.591 0.218
Hg 0.136 0.136 0.599
Hg 0.864 0.864 0.401
Sc 0.269 0.269 0.186
Sc 0.731 0.731 0.814
Ag 0.000 0.000 0.000
! Theoretical density ... 10726 kg/m³
! Space group ... C2/m, No. 12
! Energy of formation from the pure elements ... -1.4 eV per formula unit